Model one:
Pr2NdSn2 after structural relaxation, computed with PBE-GGA.

Structure (POSCAR):
```
Pr2NdSn2
1.0
6.582 -2.441 0.000
6.582 2.441 0.000
-5.035 0.000 10.029
Pr Nd Sn
4 2 4
Cartesian
-0.775 0.000 1.796
-0.529 0.000 5.909
8.658 0.000 4.119
8.904 0.000 8.233
3.019 0.000 1.535
5.110 0.000 8.494
0.265 0.000 9.303
2.978 0.000 6.067
5.151 0.000 3.962
7.863 0.000 0.726
```

Calculated values
- crystal system = monoclinic


Model two:
Pr2NdSn2 after structural relaxation, computed with PBE-GGA.

Structure (POSCAR):
```
Pr2NdSn2
1.0
8.387 0.000 0.000
0.000 8.387 0.000
0.000 0.000 4.518
Pr Nd Sn
4 2 4
Cartesian
1.437 2.756 0.000
2.756 6.950 0.000
5.631 1.437 0.000
6.950 5.631 0.000
0.000 0.000 2.259
4.194 4.194 2.259
1.076 5.270 2.259
3.117 1.076 2.259
5.270 7.311 2.259
7.311 3.117 2.259
```

Calculated values
- crystal system = tetragonal


Stability, descending: model two, model one